This record from the Alexandria database describes an optimized crystal structure of Ti5Tc4Ge. The functional is PBE-GGA.

a b c (Å): 3.1687 3.1687 15.0848
angles (deg): 90.00 90.00 90.00
Last column: nearest neighbours and their distance in Å.
Sites, in units of the cell vectors:
Ti: 0.0000 0.0000 0.0000  8 Tc 2.72, 2 Ti 3.02
Ti: 0.0000 0.0000 0.2005  8 Tc 2.68-2.76, 1 Ti 2.98
Ti: 0.0000 0.0000 0.3980  4 Tc 2.62, 4 Ge 2.72
Ti: 0.0000 0.0000 0.6020  4 Tc 2.62, 4 Ge 2.72
Ti: 0.0000 0.0000 0.7995  8 Tc 2.68-2.76, 1 Ti 2.98
Tc: 0.5000 0.5000 0.1028  8 Ti 2.68-2.72
Tc: 0.5000 0.5000 0.3077  8 Ti 2.62-2.76, 1 Ge 2.90
Tc: 0.5000 0.5000 0.6923  8 Ti 2.62-2.76, 1 Ge 2.90
Tc: 0.5000 0.5000 0.8972  8 Ti 2.68-2.72
Ge: 0.5000 0.5000 0.5000  8 Ti 2.72, 2 Tc 2.90

Properties
For the magnetic moment, the calculation gives 0.000 μB/f.u. The value obtained for the formation energy is -0.540 eV/atom.